VASP calculation (PBE with a Hubbard U) on a geometry-optimized MnBiIrO6 structure.

Structure (POSCAR):
```
MnBiIrO6
1.0
4.804 0.000 0.000
0.000 4.804 0.000
0.000 0.000 9.874
Mn Bi Ir O
2 2 2 12
Direct
0.000 0.000 0.000
0.500 0.500 0.500
0.000 0.000 0.669
0.500 0.500 0.169
0.000 0.000 0.337
0.500 0.500 0.837
0.178 0.178 0.176
0.193 0.193 0.485
0.214 0.214 0.842
0.286 0.714 0.342
0.307 0.693 0.985
0.322 0.678 0.676
0.678 0.322 0.676
0.693 0.307 0.985
0.714 0.286 0.342
0.786 0.786 0.842
0.807 0.807 0.485
0.822 0.822 0.176
```

## Properties
VASP energy = -6.572 eV per atom
Volume = 227.83 Å³/cell
Space group = P4_2nm
DOS at the Fermi energy = 8.067 states/eV/cell